No. 1
Density functional theory data (GGA-PBE) for a relaxed ScCoTe2 crystal.

abc: 3.5476 3.5476 6.7497
angles: 90.00 90.00 90.00
Closest atoms and distances in Å follow each position.
Fractional coordinates of all 4 atoms:
Sc 0.0000 0.0000 0.0000  8 Te 3.05, 2 Co 3.37
Co 0.0000 0.0000 0.5000  8 Te 2.99
Te 0.5000 0.5000 0.2578  4 Co 2.99, 4 Sc 3.05, 1 Te 3.27
Te 0.5000 0.5000 0.7422  4 Co 2.99, 4 Sc 3.05, 1 Te 3.27

No. 2
Density functional theory data (GGA-PBE) for a relaxed Sc2CoTe crystal.

abc: 4.1326 4.1326 16.9679
angles: 90.00 90.00 120.00
Closest atoms and distances in Å follow each position.
Fractional coordinates of all 12 atoms:
Sc 0.0000 0.0000 0.0000  3 Te 2.95, 3 Sc 3.20
Sc 0.0000 0.0000 0.2077  3 Co 2.53
Sc 0.3333 0.6667 0.6667  3 Te 2.95, 3 Sc 3.20
Sc 0.3333 0.6667 0.8744  3 Co 2.53
Sc 0.6667 0.3333 0.3333  3 Te 2.95, 3 Sc 3.20
Sc 0.6667 0.3333 0.5411  3 Co 2.53
Co 0.0000 0.0000 0.4922  3 Sc 2.53, 3 Te 2.57
Co 0.3333 0.6667 0.1589  3 Sc 2.53, 3 Te 2.57
Co 0.6667 0.3333 0.8256  3 Sc 2.53, 3 Te 2.57
Te 0.0000 0.0000 0.7687  3 Co 2.57
Te 0.3333 0.6667 0.4353  3 Co 2.57
Te 0.6667 0.3333 0.1020  3 Co 2.57

No. 3
Density functional theory data (GGA-PBE) for a relaxed Sc2CoTe crystal.

abc: 3.8299 3.8299 20.1653
angles: 90.00 90.00 120.00
Closest atoms and distances in Å follow each position.
Fractional coordinates of all 12 atoms:
Sc 0.0000 0.0000 0.2338  3 Co 2.59
Sc 0.0000 0.0000 0.7662  3 Co 2.59
Sc 0.3333 0.6667 0.4329  3 Co 2.59
Sc 0.3333 0.6667 0.9005  3 Co 2.59
Sc 0.6667 0.3333 0.0995  3 Co 2.59
Sc 0.6667 0.3333 0.5671  3 Co 2.59
Co 0.0000 0.0000 0.5000  6 Sc 2.59
Co 0.3333 0.6667 0.1667  6 Sc 2.59
Co 0.6667 0.3333 0.8333  6 Sc 2.59
Te 0.0000 0.0000 0.0000  6 Sc 2.99
Te 0.3333 0.6667 0.6667  6 Sc 2.99
Te 0.6667 0.3333 0.3333  6 Sc 2.99

No. 4
Density functional theory data (GGA-PBE) for a relaxed Sc4CoTe crystal.

Computed properties:
Energy relative to the lowest polymorph listed for this composition ... 0.895 eV per atom

abc: 5.7338 5.7338 5.7338
angles: 60.00 60.00 60.00
Closest atoms and distances in Å follow each position.
Fractional coordinates of all 6 atoms:
Sc 0.3761 0.3761 0.3761  6 Sc 2.84-2.89
Sc 0.3761 0.3761 0.8718  6 Sc 2.84-2.89
Sc 0.3761 0.8718 0.3761  6 Sc 2.84-2.89
Sc 0.8718 0.3761 0.3761  6 Sc 2.84-2.89
Co 0.7500 0.7500 0.7500  12 Sc 3.36, 4 Te 3.51
Te 0.0000 0.0000 0.0000  12 Sc 3.36, 4 Co 3.51

no.,formation energy without anion corrections (eV per atom)
1,-0.14
2,-0.28
3,-0.50
4,0.38